# 1
Crystalline ScB2PdCl at its relaxed geometry, computed with PBE.

The structure belongs to space group P4/mmm (No. 123); the cell edges are 4.0230, 4.0230 and 4.5665 Å and the angles 90.00°, 90.00° and 90.00°. The asymmetric unit holds Sc at (0.0000, 0.0000, 0.0000), B at (0.0000, 0.5000, 0.5000), Pd at (0.5000, 0.5000, 0.0000) and Cl at (0.0000, 0.0000, 0.5000).

The uncorrected formation energy is 1.238 eV per atom.



# 2
Crystalline LaPrEuHo at its relaxed geometry, computed with PBE.

The structure belongs to space group F-43m (No. 216); the cell edges are 8.3362, 8.3362 and 8.3362 Å and the angles 90.00°, 90.00° and 90.00°. The asymmetric unit holds La at (0.0000, 0.0000, 0.0000), Pr at (0.0000, 0.0000, 0.5000), Eu at (0.2500, 0.2500, 0.7500) and Ho at (0.2500, 0.2500, 0.2500).

The formation energy comes out at 0.119 eV per atom.



# 3
Crystalline LiGdHoPd at its relaxed geometry, computed with PBE.

The structure belongs to space group F-43m (No. 216); the cell edges are 7.1286, 7.1286 and 7.1286 Å and the angles 90.00°, 90.00° and 90.00°. The asymmetric unit holds Li at (0.0000, 0.0000, 0.0000), Gd at (0.2500, 0.2500, 0.2500), Ho at (0.2500, 0.2500, 0.7500) and Pd at (0.0000, 0.0000, 0.5000).

The formation energy comes out at -0.399 eV per atom.



# 4
Crystalline DyTl3Pt8 at its relaxed geometry, computed with PBE.

The structure belongs to space group R3m (No. 160, hexagonal axes); the cell edges are 5.4651, 5.4651 and 26.6057 Å and the angles 90.00°, 90.00° and 120.00°. The asymmetric unit holds Dy at (0.0000, 0.0000, 0.0000), Tl at (0.0000, 0.0000, 0.1270), Tl at (0.0000, 0.0000, 0.4981), Tl at (0.0000, 0.0000, 0.6211), Pt at (0.0000, 0.0000, 0.3121), Pt at (0.0000, 0.0000, 0.8120), Pt at (0.0011, 0.5005, 0.5635) and Pt at (0.1678, 0.3355, 0.3940).

The formation energy comes out at -0.412 eV per atom.



# 5
Crystalline AlBH2 at its relaxed geometry, computed with PBE.

The structure belongs to space group I4_1/amd (No. 141, origin choice 2); the cell edges are 3.2843, 3.2843 and 10.5779 Å and the angles 90.00°, 90.00° and 90.00°. The asymmetric unit holds Al at (0.0000, 0.2500, 0.3750), B at (0.0000, 0.2500, 0.8750) and H at (0.0000, 0.0000, 0.0000).

The excess energy over the best structure of this formula in the dataset is 563 meV/atom.



# 6
Crystalline CaPu2Co9 at its relaxed geometry, computed with PBE.

The structure belongs to space group R-3m (No. 166, hexagonal axes); the cell edges are 4.7693, 4.7693 and 24.0073 Å and the angles 90.00°, 90.00° and 120.00°. The asymmetric unit holds Ca at (0.0000, 0.0000, 0.0000), Pu at (0.0000, 0.0000, 0.1448), Co at (0.0000, 0.0000, 0.3321), Co at (0.0000, 0.0000, 0.5000) and Co at (0.9998, 0.4999, 0.0829).

The formation energy comes out at 0.211 eV per atom.